A plane-wave DFT calculation with GGA-PBE was carried out for GaSn2O2 after structural relaxation.

Unit cell a=5.9779 b=5.9779 c=4.7502 alpha=90.00 beta=90.00 gamma=90.00
Fractional positions:
Ga (0.0000, 0.0000, 0.0000)
Ga (0.5000, 0.5000, 0.0000)
Sn (0.1936, 0.3064, 0.5000)
Sn (0.3064, 0.8064, 0.5000)
Sn (0.6936, 0.1936, 0.5000)
Sn (0.8064, 0.6936, 0.5000)
O (0.2314, 0.2686, 0.0000)
O (0.2686, 0.7686, 0.0000)
O (0.7314, 0.2314, 0.0000)
O (0.7686, 0.7314, 0.0000)

E ... -48.13 eV/cell
V ... 16.975 A^3/atom

=====

A plane-wave DFT calculation with GGA-PBE was carried out for GaSn3O after structural relaxation.

Unit cell a=5.2729 b=5.2729 c=5.2729 alpha=90.00 beta=90.00 gamma=90.00
Fractional positions:
Ga (0.0000, 0.0000, 0.0000)
Sn (0.0000, 0.0000, 0.5000)
Sn (0.0000, 0.5000, 0.0000)
Sn (0.5000, 0.0000, 0.0000)
O (0.5000, 0.5000, 0.5000)

E ... -16.22 eV/cell
V ... 29.320 A^3/atom

=====

A plane-wave DFT calculation with GGA-PBE was carried out for GaSnO4 after structural relaxation.

Unit cell a=6.6473 b=6.7274 c=3.1638 alpha=90.00 beta=90.00 gamma=90.00
Fractional positions:
Ga (0.0000, 0.0000, 0.0000)
Ga (0.5000, 0.5000, 0.0000)
Sn (0.0000, 0.5000, 0.5000)
Sn (0.5000, 0.0000, 0.5000)
O (0.0000, 0.1884, 0.5000)
O (0.0000, 0.8116, 0.5000)
O (0.2029, 0.5000, 0.0000)
O (0.2971, 0.0000, 0.0000)
O (0.5000, 0.3116, 0.5000)
O (0.5000, 0.6884, 0.5000)
O (0.7029, 0.0000, 0.0000)
O (0.7971, 0.5000, 0.0000)

E ... -70.21 eV/cell
V ... 11.790 A^3/atom

=====

A plane-wave DFT calculation with GGA-PBE was carried out for Ga3SnO after structural relaxation.

Unit cell a=4.5190 b=4.5190 c=4.5190 alpha=90.00 beta=90.00 gamma=90.00
Fractional positions:
Ga (0.0000, 0.0000, 0.5000)
Ga (0.0000, 0.5000, 0.0000)
Ga (0.5000, 0.0000, 0.0000)
Sn (0.5000, 0.5000, 0.5000)
O (0.0000, 0.0000, 0.0000)

E ... -19.12 eV/cell
V ... 18.457 A^3/atom

=====

A plane-wave DFT calculation with GGA-PBE was carried out for GaSn2O after structural relaxation.

Unit cell a=6.7089 b=6.7089 c=6.7089 alpha=90.00 beta=90.00 gamma=90.00
Fractional positions:
Ga (0.0000, 0.0000, 0.0000)
Ga (0.0000, 0.5000, 0.5000)
Ga (0.5000, 0.0000, 0.5000)
Ga (0.5000, 0.5000, 0.0000)
Sn (0.2500, 0.2500, 0.2500)
Sn (0.2500, 0.2500, 0.7500)
Sn (0.2500, 0.7500, 0.2500)
Sn (0.2500, 0.7500, 0.7500)
Sn (0.7500, 0.2500, 0.2500)
Sn (0.7500, 0.2500, 0.7500)
Sn (0.7500, 0.7500, 0.2500)
Sn (0.7500, 0.7500, 0.7500)
O (0.0000, 0.0000, 0.5000)
O (0.0000, 0.5000, 0.0000)
O (0.5000, 0.0000, 0.0000)
O (0.5000, 0.5000, 0.5000)

E ... -63.47 eV/cell
V ... 18.873 A^3/atom

=====

A plane-wave DFT calculation with GGA-PBE was carried out for GaSn2O after structural relaxation.

Unit cell a=5.4164 b=5.4164 c=12.7372 alpha=90.00 beta=90.00 gamma=90.00
Fractional positions:
Ga (0.0000, 0.0000, 0.0000)
Ga (0.0000, 0.5000, 0.2500)
Ga (0.5000, 0.0000, 0.7500)
Ga (0.5000, 0.5000, 0.5000)
Sn (0.1775, 0.2500, 0.6250)
Sn (0.2500, 0.6775, 0.8750)
Sn (0.2500, 0.8225, 0.3750)
Sn (0.3225, 0.2500, 0.1250)
Sn (0.6775, 0.7500, 0.1250)
Sn (0.7500, 0.1775, 0.3750)
Sn (0.7500, 0.3225, 0.8750)
Sn (0.8225, 0.7500, 0.6250)
O (0.0000, 0.0000, 0.5000)
O (0.0000, 0.5000, 0.7500)
O (0.5000, 0.0000, 0.2500)
O (0.5000, 0.5000, 0.0000)

E ... -69.24 eV/cell
V ... 23.355 A^3/atom

=====

A plane-wave DFT calculation with GGA-PBE was carried out for GaSn2O2 after structural relaxation.

Unit cell a=4.8644 b=4.8644 c=7.4162 alpha=90.00 beta=90.00 gamma=90.00
Fractional positions:
Ga (0.0000, 0.0000, 0.0000)
Ga (0.5000, 0.5000, 0.5000)
Sn (0.0000, 0.5000, 0.2500)
Sn (0.0000, 0.5000, 0.7500)
Sn (0.5000, 0.0000, 0.2500)
Sn (0.5000, 0.0000, 0.7500)
O (0.0000, 0.0000, 0.4040)
O (0.0000, 0.0000, 0.5960)
O (0.5000, 0.5000, 0.0960)
O (0.5000, 0.5000, 0.9040)

E ... -42.64 eV/cell
V ... 17.549 A^3/atom

=====

A plane-wave DFT calculation with GGA-PBE was carried out for GaSn3O after structural relaxation.

Unit cell a=4.8571 b=4.8571 c=4.8571 alpha=90.00 beta=90.00 gamma=90.00
Fractional positions:
Ga (0.0000, 0.0000, 0.0000)
Sn (0.0000, 0.5000, 0.5000)
Sn (0.5000, 0.0000, 0.5000)
Sn (0.5000, 0.5000, 0.0000)
O (0.5000, 0.5000, 0.5000)

E ... -20.97 eV/cell
V ... 22.917 A^3/atom

=====

A plane-wave DFT calculation with GGA-PBE was carried out for Ga3SnO after structural relaxation.

Unit cell a=5.3081 b=5.3081 c=5.3081 alpha=90.00 beta=90.00 gamma=90.00
Fractional positions:
Ga (0.0000, 0.0000, 0.5000)
Ga (0.0000, 0.5000, 0.0000)
Ga (0.5000, 0.0000, 0.0000)
Sn (0.0000, 0.0000, 0.0000)
O (0.5000, 0.5000, 0.5000)

E ... -13.93 eV/cell
V ... 29.913 A^3/atom

=====

A plane-wave DFT calculation with GGA-PBE was carried out for Ga5Sn3O12 after structural relaxation.

Unit cell a=10.8183 b=10.8183 c=10.8183 alpha=109.47 beta=109.47 gamma=109.47
Fractional positions:
Ga (0.0000, 0.0000, 0.0000)
Ga (0.0000, 0.0000, 0.5000)
Ga (0.0000, 0.5000, 0.0000)
Ga (0.0000, 0.5000, 0.5000)
Ga (0.1250, 0.7500, 0.8750)
Ga (0.1250, 0.8750, 0.2500)
Ga (0.2500, 0.1250, 0.8750)
Ga (0.2500, 0.6250, 0.3750)
Ga (0.3750, 0.2500, 0.6250)
Ga (0.3750, 0.6250, 0.7500)
Ga (0.5000, 0.0000, 0.0000)
Ga (0.5000, 0.0000, 0.5000)
Ga (0.5000, 0.5000, 0.0000)
Ga (0.5000, 0.5000, 0.5000)
Ga (0.6250, 0.3750, 0.2500)
Ga (0.6250, 0.7500, 0.3750)
Ga (0.7500, 0.3750, 0.6250)
Ga (0.7500, 0.8750, 0.1250)
Ga (0.8750, 0.1250, 0.7500)
Ga (0.8750, 0.2500, 0.1250)
Sn (0.1250, 0.2500, 0.3750)
Sn (0.1250, 0.3750, 0.7500)
Sn (0.2500, 0.3750, 0.1250)
Sn (0.2500, 0.8750, 0.6250)
Sn (0.3750, 0.1250, 0.2500)
Sn (0.3750, 0.7500, 0.1250)
Sn (0.6250, 0.2500, 0.8750)
Sn (0.6250, 0.8750, 0.7500)
Sn (0.7500, 0.1250, 0.3750)
Sn (0.7500, 0.6250, 0.8750)
Sn (0.8750, 0.6250, 0.2500)
Sn (0.8750, 0.7500, 0.6250)
O (0.0274, 0.2039, 0.1248)
O (0.0274, 0.3235, 0.9026)
O (0.0791, 0.7039, 0.6765)
O (0.0791, 0.8752, 0.4026)
O (0.0974, 0.6248, 0.4209)
O (0.0974, 0.9726, 0.6765)
O (0.1248, 0.0274, 0.2039)
O (0.1248, 0.5974, 0.9209)
O (0.1765, 0.2039, 0.5791)
O (0.1765, 0.4726, 0.5974)
O (0.2039, 0.1248, 0.0274)
O (0.2039, 0.5791, 0.1765)
O (0.2961, 0.3235, 0.9209)
O (0.2961, 0.4726, 0.3752)
O (0.3235, 0.9026, 0.0274)
O (0.3235, 0.9209, 0.2961)
O (0.3752, 0.2961, 0.4726)
O (0.3752, 0.5791, 0.9026)
O (0.4026, 0.0791, 0.8752)
O (0.4026, 0.8235, 0.5274)
O (0.4209, 0.0974, 0.6248)
O (0.4209, 0.8235, 0.7961)
O (0.4726, 0.3752, 0.2961)
O (0.4726, 0.5974, 0.1765)
O (0.5274, 0.4026, 0.8235)
O (0.5274, 0.6248, 0.7039)
O (0.5791, 0.1765, 0.2039)
O (0.5791, 0.9026, 0.3752)
O (0.5974, 0.1765, 0.4726)
O (0.5974, 0.9209, 0.1248)
O (0.6248, 0.4209, 0.0974)
O (0.6248, 0.7039, 0.5274)
O (0.6765, 0.0791, 0.7039)
O (0.6765, 0.0974, 0.9726)
O (0.7039, 0.5274, 0.6248)
O (0.7039, 0.6765, 0.0791)
O (0.7961, 0.4209, 0.8235)
O (0.7961, 0.8752, 0.9726)
O (0.8235, 0.5274, 0.4026)
O (0.8235, 0.7961, 0.4209)
O (0.8752, 0.4026, 0.0791)
O (0.8752, 0.9726, 0.7961)
O (0.9026, 0.0274, 0.3235)
O (0.9026, 0.3752, 0.5791)
O (0.9209, 0.1248, 0.5974)
O (0.9209, 0.2961, 0.3235)
O (0.9726, 0.6765, 0.0974)
O (0.9726, 0.7961, 0.8752)

E ... -470.77 eV/cell
V ... 12.183 A^3/atom

=====

A plane-wave DFT calculation with GGA-PBE was carried out for SrGa2SnO after structural relaxation.

Unit cell a=5.8987 b=5.8987 c=6.2305 alpha=90.00 beta=90.00 gamma=90.00
Fractional positions:
Sr (0.0000, 0.0000, 0.0000)
Ga (0.0000, 0.5000, 0.0000)
Ga (0.5000, 0.0000, 0.0000)
Sn (0.0000, 0.0000, 0.5000)
O (0.5000, 0.5000, 0.5000)

E ... -10.13 eV/cell
V ... 43.358 A^3/atom

=====

A plane-wave DFT calculation with GGA-PBE was carried out for Sr2YGaSn2O7 after structural relaxation.

Unit cell a=6.0392 b=6.5736 c=12.5990 alpha=103.11 beta=98.06 gamma=98.17
Fractional positions:
Sr (0.0000, 0.0000, 0.0000)
Sr (0.0198, 0.1184, 0.2967)
Sr (0.4512, 0.5980, 0.0062)
Sr (0.5198, 0.7659, 0.3378)
Y (0.2459, 0.2683, 0.6212)
Y (0.6426, 0.8772, 0.6453)
Ga (0.5308, 0.1891, 0.1717)
Ga (0.9710, 0.5902, 0.1748)
Sn (0.0335, 0.7341, 0.4864)
Sn (0.1548, 0.7402, 0.7472)
Sn (0.7008, 0.2989, 0.4958)
Sn (0.7909, 0.3292, 0.8352)
O (0.0134, 0.4123, 0.7313)
O (0.0566, 0.4067, 0.4729)
O (0.2606, 0.8088, 0.9122)
O (0.2717, 0.5974, 0.1623)
O (0.3494, 0.9056, 0.5069)
O (0.4337, 0.6147, 0.6893)
O (0.4994, 0.1634, 0.7248)
O (0.6192, 0.1346, 0.3180)
O (0.6944, 0.6180, 0.4868)
O (0.8251, 0.7769, 0.1093)
O (0.8389, 0.2984, 0.1526)
O (0.8726, 0.0293, 0.8176)
O (0.9156, 0.0217, 0.5417)
O (0.9580, 0.7443, 0.3229)

E ... -167.15 eV/cell
V ... 18.247 A^3/atom

=====

Formation energy without anion corrections, respectively: -623; 756; -1374; -216; 31; -330; -74; -194; 822; -1553; 1314; -2154 meV per atom.
Theoretical density, respectively: 6635; 5005; 5926; 6188; 7108; 5744; 6418; 6403; 3818; 6111; 2771; 4783 kg/m³.
N(E_F), respectively: 2.702; 3.508; 7.320; 2.069; 14.589; 3.982; 7.483; 2.043; 3.873; 25.962; 7.696; 0.000 states/eV per cell.